Entry i
First-principles (SCAN) data for a PBEsol-optimized structure of TaTe2Ir, as listed in Alexandria via LeMat-Bulk.

```
TaTe2Ir
1.0
0.0000 3.4084 3.4084
3.4084 0.0000 3.4084
3.4084 3.4084 0.0000
Ta Te Ir
1 2 1
direct
0.0000 0.0000 0.0000
0.2500 0.2500 0.2500
0.5000 0.5000 0.5000
0.7500 0.7500 0.7500
```

SG ... F-43m (216)
Volume ... 19.80 A^3/atom
Spin magnetization ... 0.000 μB/atom

Entry ii
First-principles (SCAN) data for a PBEsol-optimized structure of TaTe2Ir, as listed in Alexandria via LeMat-Bulk.

```
TaTe2Ir
1.0
4.6283 0.0000 0.0000
0.0000 4.6283 0.0000
0.0000 0.0000 3.4741
Ta Te Ir
1 2 1
direct
0.0000 0.0000 0.0000
0.0000 0.5000 0.5000
0.5000 0.0000 0.5000
0.5000 0.5000 0.0000
```

SG ... P4/mmm (123)
Volume ... 18.60 A^3/atom
Spin magnetization ... 0.000 μB/atom

Entry iii
First-principles (SCAN) data for a PBEsol-optimized structure of TaTe2Ir, as listed in Alexandria via LeMat-Bulk.

```
TaTe2Ir
1.0
-1.8551 2.0164 6.7367
1.8551 -2.0164 6.7367
1.8551 2.0164 -6.7367
Ta Te Ir
1 2 1
direct
0.0000 0.0000 0.0000
0.3534 0.8534 0.5000
0.6466 0.1466 0.5000
0.5000 0.5000 0.0000
```

SG ... Immm (71)
Volume ... 25.20 A^3/atom
Spin magnetization ... 0.000 μB/atom

Least stable structure: entry i

Entry i
First-principles (SCAN) data for a PBEsol-optimized structure of TaTlIr2, as listed in Alexandria via LeMat-Bulk.

```
TaTlIr2
1.0
4.7667 0.0000 0.0000
0.0000 4.7667 0.0000
0.0000 0.0000 2.9431
Ta Tl Ir
1 1 2
direct
0.0000 0.0000 0.0000
0.5000 0.5000 0.0000
0.0000 0.5000 0.5000
0.5000 0.0000 0.5000
```

SG ... P4/mmm (123)
Volume ... 16.72 A^3/atom
Spin magnetization ... 0.000 μB/atom

Entry ii
First-principles (SCAN) data for a PBEsol-optimized structure of TaTlIr2, as listed in Alexandria via LeMat-Bulk.

```
TaTlIr2
1.0
0.0000 3.2114 3.2114
3.2114 0.0000 3.2114
3.2114 3.2114 0.0000
Ta Tl Ir
1 1 2
direct
0.0000 0.0000 0.0000
0.2500 0.2500 0.2500
0.5000 0.5000 0.5000
0.7500 0.7500 0.7500
```

SG ... F-43m (216)
Volume ... 16.56 A^3/atom
Spin magnetization ... 0.000 μB/atom

Least stable structure: entry ii

Entry i
First-principles (SCAN) data for a PBEsol-optimized structure of TaTl2Ir, as listed in Alexandria via LeMat-Bulk.

```
TaTl2Ir
1.0
1.5421 0.8903 9.1603
-1.5421 0.8903 9.1603
0.0000 -1.7807 9.1603
Ta Tl Ir
1 2 1
direct
0.0000 0.0000 0.0000
0.2458 0.2458 0.2458
0.7542 0.7542 0.7542
0.5000 0.5000 0.5000
```

SG ... R-3m (166)
Volume ... 18.87 A^3/atom
Spin magnetization ... 0.000 μB/atom

Entry ii
First-principles (SCAN) data for a PBEsol-optimized structure of TaTl2Ir, as listed in Alexandria via LeMat-Bulk.

```
TaTl2Ir
1.0
-1.5168 2.5739 4.8858
1.5168 -2.5739 4.8858
1.5168 2.5739 -4.8858
Ta Tl Ir
1 2 1
direct
0.0000 0.0000 0.0000
0.2626 0.7626 0.5000
0.7374 0.2374 0.5000
0.5000 0.5000 0.0000
```

SG ... Immm (71)
Volume ... 19.07 A^3/atom
Spin magnetization ... 0.000 μB/atom

Least stable structure: entry i

Entry i
First-principles (SCAN) data for a PBEsol-optimized structure of TaTl2Ir, as listed in Alexandria via LeMat-Bulk.

```
TaTl2Ir
1.0
3.0000 0.0000 0.0000
0.0000 3.1846 0.0000
-1.4993 0.0000 8.6280
Ta Tl Ir
1 2 1
direct
0.0000 0.0000 0.0000
0.6288 0.5000 0.2582
0.7951 0.0000 0.5826
0.4162 0.5000 0.8318
```

SG ... Pm (6)
Volume ... 20.61 A^3/atom
Spin magnetization ... 0.000 μB/atom

Entry ii
First-principles (SCAN) data for a PBEsol-optimized structure of TaTl2Ir, as listed in Alexandria via LeMat-Bulk.

```
TaTl2Ir
1.0
4.8723 0.0000 0.0000
0.0000 4.8723 0.0000
0.0000 0.0000 3.1395
Ta Tl Ir
1 2 1
direct
0.0000 0.0000 0.0000
0.0000 0.5000 0.5000
0.5000 0.0000 0.5000
0.5000 0.5000 0.0000
```

SG ... P4/mmm (123)
Volume ... 18.63 A^3/atom
Spin magnetization ... 0.000 μB/atom

Least stable structure: entry ii